# CaRe

A relaxed CaRe crystal (GGA-PBE, the Alexandria database).

Cell: 5.640 5.640 6.079 Å, 90.00 90.00 73.07°
Fractional positions:
Ca: 0.187 0.226 0.250
Ca: 0.226 0.187 0.750
Ca: 0.774 0.813 0.250
Ca: 0.813 0.774 0.750
Re: 0.329 0.671 0.048
Re: 0.329 0.671 0.452
Re: 0.671 0.329 0.548
Re: 0.671 0.329 0.952

Calculated values
- Calculated density: 8.1 g cm⁻³
- Raw total energy: -6.636 eV/atom
- Size of the total moment: 0.000 μB per atom
- E_form: 1.2 eV/f.u.
- SG: Cmcm (63)

# CsCuSi2

A relaxed CsCuSi2 crystal (GGA-PBE, the Alexandria database).

Cell: 5.820 3.851 8.876 Å, 90.00 90.00 90.00°
Fractional positions:
Cs: 0.250 0.000 0.150
Cs: 0.750 0.000 0.850
Cu: 0.000 0.500 0.500
Cu: 0.500 0.500 0.500
Si: 0.250 0.000 0.560
Si: 0.250 0.500 0.727
Si: 0.750 0.000 0.440
Si: 0.750 0.500 0.273

Calculated values
- Calculated density: 4.2 g cm⁻³
- Formation energy from raw total energies: 0.0491 eV/atom
- Raw total energy: -3.900 eV/atom
- Size of the total moment: 0.000 μB per atom
- SG: Pmma (51)

# LiTbSmZn

A relaxed LiTbSmZn crystal (GGA-PBE, the Alexandria database).

Cell: 3.667 3.667 7.404 Å, 90.00 90.00 90.00°
Fractional positions:
Li: 0.000 0.000 0.000
Tb: 0.500 0.500 0.262
Sm: 0.500 0.500 0.728
Zn: 0.000 0.000 0.488

Calculated values
- Calculated density: 6.4 g cm⁻³
- Raw total energy: -3.255 eV/atom
- Size of the total moment: 0.001 μB per atom
- E_form: -0.5 eV/f.u.
- SG: P4mm (99)

# FeHgS3

A relaxed FeHgS3 crystal (GGA-PBE, the Alexandria database).

Cell: 4.553 4.553 4.553 Å, 90.00 90.00 90.00°
Fractional positions:
Fe: 0.000 0.000 0.000
Hg: 0.500 0.500 0.500
S: 0.000 0.000 0.500
S: 0.000 0.500 0.000
S: 0.500 0.000 0.000

Calculated values
- Calculated density: 6.2 g cm⁻³
- Formation energy from raw total energies: 0.3204 eV/atom
- Raw total energy: -3.909 eV/atom
- Size of the total moment: 0.675 μB per atom
- SG: Pm-3m (221)

# KLiScF5

A relaxed KLiScF5 crystal (GGA-PBE, the Alexandria database).

Cell: 6.027 6.027 7.863 Å, 103.79 103.79 107.06°
Fractional positions:
K: 0.165 0.835 0.750
K: 0.835 0.165 0.250
Li: 0.186 0.814 0.250
Li: 0.814 0.186 0.750
Sc: 0.500 0.500 0.000
Sc: 0.500 0.500 0.500
F: 0.144 0.268 0.907
F: 0.218 0.606 0.400
F: 0.268 0.144 0.407
F: 0.394 0.782 0.100
F: 0.439 0.561 0.750
F: 0.561 0.439 0.250
F: 0.606 0.218 0.900
F: 0.732 0.856 0.593
F: 0.782 0.394 0.600
F: 0.856 0.732 0.093

Calculated values
- Calculated density: 2.5 g cm⁻³
- Formation energy from raw total energies: -3.4697 eV/atom
- Raw total energy: -5.807 eV/atom
- Size of the total moment: 0.013 μB per atom
- SG: C2/c (15)

# Pm6Dy2ErTm3

A relaxed Pm6Dy2ErTm3 crystal (GGA-PBE, the Alexandria database).

Cell: 6.215 6.215 11.751 Å, 95.04 95.04 119.98°
Fractional positions:
Pm: 0.084 0.417 0.751
Pm: 0.249 0.249 0.249
Pm: 0.417 0.084 0.751
Pm: 0.583 0.916 0.249
Pm: 0.751 0.751 0.751
Pm: 0.916 0.583 0.249
Dy: 0.333 0.667 0.500
Dy: 0.667 0.333 0.500
Er: 0.000 0.000 0.500
Tm: 0.167 0.833 0.000
Tm: 0.500 0.500 0.000
Tm: 0.833 0.167 0.000

Calculated values
- Calculated density: 8.0 g cm⁻³
- Raw total energy: -4.626 eV/atom
- Size of the total moment: 0.000 μB per atom
- E_form: 0.2 eV/f.u.
- SG: C2/m (12)

# CoTcPS2

A relaxed CoTcPS2 crystal (GGA-PBE, the Alexandria database).

Cell: 4.386 4.386 4.219 Å, 90.00 90.00 90.00°
Fractional positions:
Co: 0.000 0.000 0.000
Tc: 0.500 0.500 0.500
P: 0.000 0.000 0.500
S: 0.000 0.500 0.000
S: 0.500 0.000 0.000

Calculated values
- Calculated density: 5.2 g cm⁻³
- Formation energy from raw total energies: 0.7855 eV/atom
- Raw total energy: -5.442 eV/atom
- Size of the total moment: 0.387 μB per atom
- SG: P4/mmm (123)

# InAgSn3

A relaxed InAgSn3 crystal (GGA-PBE, the Alexandria database).

Cell: 6.744 6.744 14.155 Å, 110.09 110.09 62.87°
Fractional positions:
In: 0.015 0.744 0.644
In: 0.256 0.985 0.856
In: 0.744 0.015 0.144
In: 0.985 0.256 0.356
Ag: 0.000 0.000 0.000
Ag: 0.000 0.000 0.500
Ag: 0.497 0.503 0.750
Ag: 0.503 0.497 0.250
Sn: 0.051 0.681 0.295
Sn: 0.214 0.328 0.067
Sn: 0.289 0.505 0.903
Sn: 0.319 0.949 0.205
Sn: 0.328 0.214 0.567
Sn: 0.495 0.711 0.597
Sn: 0.505 0.289 0.403
Sn: 0.672 0.786 0.433
Sn: 0.681 0.051 0.795
Sn: 0.711 0.495 0.097
Sn: 0.786 0.672 0.933
Sn: 0.949 0.319 0.705

Calculated values
- Calculated density: 7.3 g cm⁻³
- Raw total energy: -3.462 eV/atom
- Size of the total moment: 0.000 μB per atom
- E_form: 0.3 eV/f.u.
- SG: C2/c (15)

# Li2SiAs

A relaxed Li2SiAs crystal (GGA-PBE, the Alexandria database).

Cell: 4.586 4.586 5.056 Å, 100.26 100.26 36.64°
Fractional positions:
Li: 0.248 0.248 0.254
Li: 0.752 0.752 0.746
Si: 0.000 0.000 0.500
As: 0.500 0.500 0.000

Calculated values
- Calculated density: 3.1 g cm⁻³
- Formation energy from raw total energies: -0.1563 eV/atom
- Raw total energy: -3.631 eV/atom
- Size of the total moment: 0.000 μB per atom
- SG: C2/m (12)

# CsBaCa2Zr

A relaxed CsBaCa2Zr crystal (GGA-PBE, the Alexandria database).

Cell: 6.743 6.743 5.782 Å, 90.00 90.00 90.00°
Fractional positions:
Cs: 0.000 0.000 0.000
Ba: 0.500 0.500 0.500
Ca: 0.000 0.500 0.500
Ca: 0.500 0.000 0.500
Zr: 0.500 0.500 0.000

Calculated values
- Calculated density: 2.8 g cm⁻³
- Raw total energy: -2.020 eV/atom
- Size of the total moment: 0.000 μB per atom
- E_form: 5.2 eV/f.u.
- SG: P4/mmm (123)

# Dy3Y3Er2

A relaxed Dy3Y3Er2 crystal (GGA-PBE, the Alexandria database).

Cell: 8.530 8.530 5.985 Å, 109.82 109.82 38.90°
Fractional positions:
Dy: 0.000 0.000 0.000
Dy: 0.132 0.132 0.690
Dy: 0.868 0.868 0.310
Y: 0.367 0.367 0.923
Y: 0.500 0.500 0.500
Y: 0.633 0.633 0.077
Er: 0.249 0.249 0.317
Er: 0.751 0.751 0.683

Calculated values
- Calculated density: 7.1 g cm⁻³
- Raw total energy: -5.194 eV/atom
- Size of the total moment: 0.001 μB per atom
- E_form: 0.8 eV/f.u.
- SG: C2/m (12)

# AgTe2Br

A relaxed AgTe2Br crystal (GGA-PBE, the Alexandria database).

Cell: 7.897 7.897 3.074 Å, 90.00 90.00 137.28°
Fractional positions:
Ag: 0.000 0.000 0.000
Te: 0.000 0.500 0.500
Te: 0.500 0.000 0.500
Br: 0.500 0.500 0.000

Calculated values
- Calculated density: 5.7 g cm⁻³
- Formation energy from raw total energies: 0.2268 eV/atom
- Raw total energy: -2.475 eV/atom
- Size of the total moment: 0.000 μB per atom
- SG: Cmmm (65)

Look up the calculated density of the ninth one.
3.1 g cm⁻³

What is the formula in the third record?
LiTbSmZn

What is the formula in the third record?
LiTbSmZn